Entry from Alexandria via LeMat-Bulk: a relaxed FePtO2 crystal (GGA-PBEsol).

a b c (Å): 5.3880 5.3880 5.3880
angles (deg): 125.73 125.73 80.33
Element x y z (fractional)
Fe 0.0000 0.0000 0.0000
Fe 0.7500 0.2500 0.5000
Pt 0.2500 0.7500 0.5000
Pt 0.5000 0.5000 0.0000
O 0.0766 0.6250 0.9516
O 0.3750 0.3266 0.4516
O 0.6734 0.1250 0.0484
O 0.8750 0.9234 0.5484

Values from the calculation:
Symmetry = I-42d (122)
Raw formation energy = -0.195 eV/atom